(1)
The following is a GGA-PBE calculation of a geometry-optimized Ba2AgBi structure, from Alexandria.

Lattice parameters (Å, degrees): 10.336 10.336 10.336 139.39 139.39 58.78
Sites, in units of the cell vectors:
Ba: 0.123 0.625 0.998
Ba: 0.375 0.373 0.498
Ba: 0.627 0.125 0.002
Ba: 0.875 0.877 0.502
Ag: 0.250 0.750 0.500
Ag: 0.500 0.500 0.000
Bi: 0.000 0.000 0.000
Bi: 0.750 0.250 0.500

## Properties
**Density**: 4239 kg/m3
**Raw total energy**: -23.1 eV for the cell shown
**ΔH_f (0 K)**: -0.237 eV per atom
**Symmetry**: No. 122
**V**: 463 Å³/cell
**Total moment**: 0.00 μB per cell

(2)
The following is a GGA-PBE calculation of a geometry-optimized PmTm3Cd structure, from Alexandria.

Lattice parameters (Å, degrees): 6.712 6.712 12.488 93.43 93.43 31.45
Sites, in units of the cell vectors:
Pm: 0.235 0.235 0.254
Pm: 0.765 0.765 0.746
Tm: 0.035 0.035 0.688
Tm: 0.146 0.146 0.949
Tm: 0.366 0.366 0.521
Tm: 0.634 0.634 0.479
Tm: 0.854 0.854 0.051
Tm: 0.965 0.965 0.312
Cd: 0.448 0.448 0.874
Cd: 0.552 0.552 0.126

## Properties
**Density**: 8663 kg/m3
**Energy above the lowest structure with this stoichiometry**: 0.0 meV per atom
**Raw total energy**: -39.2 eV for the cell shown
**ΔH_f (0 K)**: -0.102 eV per atom
**Symmetry**: No. 12
**V**: 293 Å³/cell
**Total moment**: 0.03 μB per cell

- Which value of total moment does entry 1 give?
  0.00 μB per cell